[1]
This record from Alexandria describes a relaxed structure of RbLiTaCl6. The functional is PBE.

Unit cell a=6.614 b=6.614 c=14.594 alpha=90.00 beta=90.00 gamma=120.00
Sites, in units of the cell vectors:
Rb 0.000 0.000 0.000
Rb 0.000 0.000 0.500
Li 0.333 0.667 0.250
Li 0.667 0.333 0.750
Ta 0.333 0.667 0.750
Ta 0.667 0.333 0.250
Cl 0.019 0.383 0.654
Cl 0.019 0.637 0.846
Cl 0.363 0.383 0.846
Cl 0.363 0.981 0.654
Cl 0.383 0.019 0.154
Cl 0.383 0.363 0.346
Cl 0.617 0.637 0.654
Cl 0.617 0.981 0.846
Cl 0.637 0.019 0.346
Cl 0.637 0.617 0.154
Cl 0.981 0.363 0.154
Cl 0.981 0.617 0.346

Values from the calculation:
- Formation energy without anion corrections: -149 kJ/mol of atoms
- SG: P-31c (163)
- Total moment: 1.000 μB/f.u.

[2]
This record from Alexandria describes a relaxed structure of RbLi2TaCl8. The functional is PBE.

Unit cell a=6.340 b=6.378 c=9.312 alpha=87.79 beta=87.68 gamma=74.75
Sites, in units of the cell vectors:
Rb 0.000 0.000 0.000
Li 0.497 0.499 0.161
Li 0.503 0.501 0.839
Ta 0.000 0.000 0.500
Cl 0.212 0.772 0.681
Cl 0.226 0.234 0.504
Cl 0.234 0.796 0.318
Cl 0.327 0.327 0.008
Cl 0.673 0.673 0.992
Cl 0.766 0.204 0.682
Cl 0.774 0.766 0.496
Cl 0.788 0.228 0.319

Values from the calculation:
- Formation energy without anion corrections: -150 kJ/mol of atoms
- SG: P-1 (2)
- Total moment: 0.000 μB/f.u.

[3]
This record from Alexandria describes a relaxed structure of Rb2LiTaCl6. The functional is PBE.

Unit cell a=7.019 b=7.019 c=7.019 alpha=114.81 beta=114.81 gamma=99.25
Sites, in units of the cell vectors:
Rb 0.250 0.750 0.500
Rb 0.750 0.250 0.500
Li 0.000 0.000 0.000
Ta 0.500 0.500 0.000
Cl 0.237 0.237 0.000
Cl 0.266 0.266 0.532
Cl 0.266 0.734 0.000
Cl 0.734 0.266 0.000
Cl 0.734 0.734 0.468
Cl 0.763 0.763 0.000

Values from the calculation:
- ΔE to the lowest computed polymorph: 38 meV/atom
- Formation energy without anion corrections: -146 kJ/mol of atoms
- SG: I4/mmm (139)
- Total moment: 2.000 μB/f.u.

[4]
This record from Alexandria describes a relaxed structure of Rb2LiTaCl6. The functional is PBE.

Unit cell a=7.202 b=7.202 c=7.202 alpha=60.00 beta=60.00 gamma=60.00
Sites, in units of the cell vectors:
Rb 0.250 0.250 0.250
Rb 0.750 0.750 0.750
Li 0.000 0.000 0.000
Ta 0.500 0.500 0.500
Cl 0.256 0.256 0.744
Cl 0.256 0.744 0.256
Cl 0.256 0.744 0.744
Cl 0.744 0.256 0.256
Cl 0.744 0.256 0.744
Cl 0.744 0.744 0.256

Values from the calculation:
- ΔE to the lowest computed polymorph: 0 meV/atom
- Formation energy without anion corrections: -150 kJ/mol of atoms
- SG: Fm-3m (225)
- Total moment: 2.000 μB/f.u.

[5]
This record from Alexandria describes a relaxed structure of RbLiTbCl6. The functional is PBE.

Unit cell a=6.756 b=6.756 c=7.557 alpha=90.10 beta=90.10 gamma=120.59
Sites, in units of the cell vectors:
Rb 0.000 0.000 0.000
Li 0.335 0.665 0.500
Tb 0.666 0.334 0.500
Cl 0.005 0.373 0.297
Cl 0.010 0.635 0.704
Cl 0.365 0.990 0.296
Cl 0.369 0.375 0.704
Cl 0.625 0.631 0.296
Cl 0.627 0.995 0.703

Values from the calculation:
- Formation energy without anion corrections: -169 kJ/mol of atoms
- SG: C2 (5)
- Total moment: 1.176 μB/f.u.

[6]
This record from Alexandria describes a relaxed structure of RbLiTb2Cl8. The functional is PBE.

Unit cell a=6.724 b=8.371 c=6.854 alpha=90.00 beta=97.45 gamma=90.00
Sites, in units of the cell vectors:
Rb 0.000 0.000 0.000
Li 0.000 0.500 0.000
Tb 0.500 0.260 0.500
Tb 0.500 0.740 0.500
Cl 0.229 0.292 0.192
Cl 0.229 0.708 0.192
Cl 0.305 0.500 0.659
Cl 0.315 0.000 0.644
Cl 0.685 0.000 0.356
Cl 0.695 0.500 0.341
Cl 0.771 0.292 0.808
Cl 0.771 0.708 0.808

Values from the calculation:
- Formation energy without anion corrections: -204 kJ/mol of atoms
- SG: P2/m (10)
- Total moment: 0.000 μB/f.u.

[7]
This record from Alexandria describes a relaxed structure of Rb2LiTcCl6. The functional is PBE.

Unit cell a=6.965 b=6.965 c=6.965 alpha=115.23 beta=115.23 gamma=98.48
Sites, in units of the cell vectors:
Rb 0.250 0.750 0.500
Rb 0.750 0.250 0.500
Li 0.000 0.000 0.000
Tc 0.500 0.500 0.000
Cl 0.242 0.242 0.000
Cl 0.270 0.270 0.540
Cl 0.270 0.730 0.000
Cl 0.730 0.270 0.000
Cl 0.730 0.730 0.460
Cl 0.758 0.758 0.000

Values from the calculation:
- ΔE to the lowest computed polymorph: 47 meV/atom
- Formation energy without anion corrections: -131 kJ/mol of atoms
- SG: I4/mmm (139)
- Total moment: 2.000 μB/f.u.

[8]
This record from Alexandria describes a relaxed structure of RbLi2TcCl8. The functional is PBE.

Unit cell a=6.106 b=6.439 c=9.099 alpha=91.46 beta=92.78 gamma=107.69
Sites, in units of the cell vectors:
Rb 0.000 0.000 0.000
Li 0.494 0.474 0.832
Li 0.506 0.526 0.168
Tc 0.000 0.000 0.500
Cl 0.150 0.725 0.442
Cl 0.244 0.225 0.335
Cl 0.293 0.126 0.692
Cl 0.317 0.659 0.983
Cl 0.683 0.341 0.017
Cl 0.707 0.874 0.308
Cl 0.756 0.775 0.665
Cl 0.850 0.275 0.558

Values from the calculation:
- Formation energy without anion corrections: -112 kJ/mol of atoms
- SG: P-1 (2)
- Total moment: 1.989 μB/f.u.